SrCaFeO4 | GGA+U | relaxed

Cell: 6.6918 6.6918 6.6918 Å, 146.49 146.49 48.13°
Atoms (fractional coordinates):
Sr: 0.0000 0.0000 0.0000
Ca: 0.7138 0.7138 0.0000
Fe: 0.3540 0.3540 0.0000
O: 0.1954 0.1954 0.0000
O: 0.3506 0.8506 0.5000
O: 0.5184 0.5184 0.0000
O: 0.8506 0.3506 0.5000

## Properties
total moment = 4.00 Bohr magnetons per cell
VASP energy = -6.36 eV/atom
SG = No. 107